First-principles (PBE) data for a relaxed LaMnW2 crystal, as listed in Alexandria via LeMat-Bulk.

a = 4.702 Å, b = 4.702 Å, c = 4.702 Å
α = 60.00°, β = 60.00°, γ = 60.00°
Last column: magnetic moment on the atom in μB.
Fractional coordinates of all 4 atoms:
W  0.000  0.000  0.000  -0.52
La  0.500  0.500  0.500  -0.08
Mn  0.750  0.750  0.750  2.75
W  0.250  0.250  0.250  0.03

Values from the calculation:
Energy relative to the lowest polymorph listed for this composition, meV per atom: 277
Spin magnetization, μB per atom: 0.513

***

First-principles (PBE) data for a relaxed LaPr2Sm5Y crystal, as listed in Alexandria via LeMat-Bulk.

a = 8.893 Å, b = 8.893 Å, c = 10.152 Å
α = 115.97°, β = 115.97°, γ = 90.00°
Fractional coordinates of all 18 atoms:
Pr  0.118  0.382  0.000
Y  0.750  0.250  0.500
Sm  0.573  0.651  0.724
Sm  0.427  0.349  0.276
Sm  0.349  0.849  0.276
Pr  0.618  0.118  0.000
Sm  0.849  0.927  0.276
Sm  0.927  0.427  0.276
Pr  0.882  0.618  0.000
Sm  0.000  0.000  0.000
Sm  0.651  0.151  0.724
Y  0.250  0.750  0.500
Pr  0.382  0.882  0.000
Sm  0.151  0.073  0.724
La  0.250  0.250  0.500
La  0.750  0.750  0.500
Sm  0.073  0.573  0.724
Sm  0.500  0.500  0.000

Values from the calculation:
Spin magnetization, μB per atom: 0.000
E, eV/atom: -4.6929

***

First-principles (PBE) data for a relaxed PRhC crystal, as listed in Alexandria via LeMat-Bulk.

a = 4.629 Å, b = 2.784 Å, c = 7.580 Å
α = 90.00°, β = 114.57°, γ = 90.00°
Fractional coordinates of all 6 atoms:
C  0.534  0.500  0.240
Rh  0.204  0.500  0.685
P  0.939  0.500  0.339
C  0.534  0.000  0.740
Rh  0.204  0.000  0.185
P  0.939  0.000  0.839

Values from the calculation:
Energy relative to the lowest polymorph listed for this composition, meV per atom: 345
Spin magnetization, μB per atom: 0.000

***

First-principles (PBE) data for a relaxed Tb2SnN crystal, as listed in Alexandria via LeMat-Bulk.

a = 3.156 Å, b = 3.156 Å, c = 7.803 Å
α = 90.00°, β = 90.00°, γ = 90.00°
Fractional coordinates of all 4 atoms:
Tb  0.000  0.000  0.185
Sn  0.500  0.500  0.500
Tb  0.000  0.000  0.815
N  0.500  0.500  0.000

Values from the calculation:
Uncorrected formation energy, eV per atom: -0.62
Spin magnetization, μB per atom: 0.000

***

First-principles (PBE) data for a relaxed MgTaAs crystal, as listed in Alexandria via LeMat-Bulk.

a = 4.407 Å, b = 4.407 Å, c = 3.478 Å
α = 90.00°, β = 90.00°, γ = 120.00°
Fractional coordinates of all 3 atoms:
Mg  0.667  0.333  0.333
Ta  0.333  0.667  0.833
As  0.000  0.000  0.834

Values from the calculation:
Energy relative to the lowest polymorph listed for this composition, meV per atom: 241
Spin magnetization, μB per atom: 0.000

***

First-principles (PBE) data for a relaxed Si2AgPt crystal, as listed in Alexandria via LeMat-Bulk.

a = 4.123 Å, b = 4.434 Å, c = 4.289 Å
α = 103.15°, β = 90.00°, γ = 90.00°
Fractional coordinates of all 4 atoms:
Si  0.000  0.604  0.450
Pt  0.500  0.750  0.750
Si  0.000  0.896  0.050
Ag  0.500  0.250  0.250

Values from the calculation:
Uncorrected formation energy, eV per atom: -0.07
Energy relative to the lowest polymorph listed for this composition, meV per atom: 56
Spin magnetization, μB per atom: 0.000